12
Lattice="6.1535 -0.5960 -1.1003 -4.0266 5.7866 -1.6955 0.0187 -0.4152 6.2688" Properties=species:S:1:pos:R:3 comment="Sc6S5N | Alexandria via LeMat-Bulk | PBE-GGA | relaxed" total_energy_ev_per_atom=-7.432 raw_formation_energy_ev_per_fu=-22.2 mass_density_g_cm3=3.65 pbc="T T T"
Sc 4.9547 -0.3678 3.3432
Sc 1.8688 1.0299 -0.8762
Sc 0.2581 4.1607 -1.9197
Sc -2.8090 5.1433 0.1298
Sc -0.5747 1.9383 1.0679
Sc 2.7204 2.8372 2.4050
S -1.3028 4.3246 2.3500
S 3.4485 0.4509 1.1229
S 1.4242 3.3221 0.2258
S 0.7214 1.4534 3.2471
S -2.0133 2.8933 -0.8478
N 0.0000 0.0000 0.0000



5
Lattice="4.1623 0.0000 0.0000 0.0000 4.1623 0.0000 0.0000 0.0000 5.3253" Properties=species:S:1:pos:R:3 comment="ScS2N2 | Alexandria via LeMat-Bulk | PBE-GGA | relaxed" total_energy_ev_per_atom=-5.187 e_above_lowest_polymorph_ev_per_atom=0.489 raw_formation_energy_ev_per_fu=5.3 mass_density_g_cm3=2.47 pbc="T T T"
S 2.0811 2.0811 2.6627
S 0.0000 0.0000 2.6627
Sc 0.0000 0.0000 0.0000
N 0.0000 2.0811 0.0000
N 2.0811 0.0000 0.0000



10
Lattice="-0.8211 0.6335 -3.2821 -2.2642 -6.0662 -0.6044 -7.9110 2.7036 2.5009" Properties=species:S:1:pos:R:3 comment="Sc3SN | Alexandria via LeMat-Bulk | PBE-GGA | relaxed" total_energy_ev_per_atom=-7.493 e_above_lowest_polymorph_ev_per_atom=0.159 raw_formation_energy_ev_per_fu=-6.0 mass_density_g_cm3=3.08 pbc="T T T"
S -4.6924 -1.8164 0.8233
S -4.7613 1.8036 -0.2656
Sc -4.6227 -3.3964 -1.3040
Sc -0.2984 0.1020 0.0943
Sc -7.0951 -2.6826 1.2572
Sc -3.4756 -0.3231 -0.9978
Sc -5.9781 0.3103 1.5554
Sc -9.1553 -0.1147 0.4633
N -1.7320 0.7684 -1.2233
N -7.7216 -0.7811 1.7809



15
Lattice="5.2369 0.0000 0.0000 0.0000 6.5526 -3.7831 0.0000 0.0000 7.5663" Properties=species:S:1:pos:R:3 comment="Sc8S6N | Alexandria via LeMat-Bulk | PBE-GGA | relaxed" total_energy_ev_per_atom=-7.159 raw_formation_energy_ev_per_fu=-23.6 mass_density_g_cm3=3.62 pbc="T T T"
Sc 3.9002 4.9367 2.8502
Sc 1.3367 1.6158 0.9329
Sc 1.3367 0.0000 5.7005
Sc 2.6171 4.3684 0.0000
Sc 2.6197 2.1842 3.7831
Sc 3.9002 6.5526 -1.9173
Sc 3.9002 1.6159 -0.9329
Sc 1.3367 4.9367 4.7160
S 3.9269 4.0025 -2.3102
S 3.9269 6.5521 0.8382
S 1.3100 4.0020 2.3111
S 1.3100 0.0005 2.9449
S 3.9269 2.5506 1.4720
S 1.3100 2.5501 6.0934
N 2.6184 0.0000 0.0000



5
Lattice="5.0051 0.0000 0.0000 0.0000 5.0051 0.0000 0.0000 0.0000 4.3030" Properties=species:S:1:pos:R:3 comment="ScS2N2 | Alexandria via LeMat-Bulk | PBE-GGA | relaxed" total_energy_ev_per_atom=-4.921 e_above_lowest_polymorph_ev_per_atom=0.755 raw_formation_energy_ev_per_fu=6.6 mass_density_g_cm3=2.11 pbc="T T T"
N 0.0000 0.0000 2.1515
N 2.5026 2.5026 2.1515
S 2.5026 0.0000 0.0000
S 0.0000 2.5026 0.0000
Sc 0.0000 0.0000 0.0000



5
Lattice="-4.2924 0.6464 0.3369 -0.2505 -3.1978 2.9440 0.6845 2.8831 3.1898" Properties=species:S:1:pos:R:3 comment="Sc3SN | Alexandria via LeMat-Bulk | PBE-GGA | relaxed" total_energy_ev_per_atom=-7.257 e_above_lowest_polymorph_ev_per_atom=0.394 raw_formation_energy_ev_per_fu=-4.8 mass_density_g_cm3=3.64 pbc="T T T"
N 0.0000 0.0000 0.0000
S -1.9291 0.1658 3.2354
Sc -2.1462 0.3232 0.1685
Sc 0.3423 1.4415 1.5949
Sc -0.1252 -1.5989 1.4720



5
Lattice="3.9169 0.0000 0.0000 0.0000 3.9169 0.0000 0.0000 0.0000 4.0270" Properties=species:S:1:pos:R:3 comment="ScS2N2 | Alexandria via LeMat-Bulk | PBE-GGA | relaxed" total_energy_ev_per_atom=-5.513 e_above_lowest_polymorph_ev_per_atom=0.164 raw_formation_energy_ev_per_fu=3.7 mass_density_g_cm3=3.68 pbc="T T T"
N 0.0000 0.0000 2.0135
N 0.0000 0.0000 0.0000
S 1.9584 0.0000 0.0000
S 0.0000 1.9584 0.0000
Sc 1.9584 1.9584 2.0135



9
Lattice="-6.0731 1.7527 0.0533 -1.2684 -0.8153 3.2593 -3.9133 8.9242 0.7093" Properties=species:S:1:pos:R:3 comment="Sc4S3N2 | Alexandria via LeMat-Bulk | PBE-GGA | relaxed" total_energy_ev_per_atom=-7.916 e_above_lowest_polymorph_ev_per_atom=0.000 raw_formation_energy_ev_per_fu=-16.9 mass_density_g_cm3=3.18 pbc="T T T"
S -2.6479 1.9999 1.4482
S -8.6069 7.8617 2.5737
S 0.0000 0.0000 0.0000
Sc -6.2735 8.0904 1.5607
Sc -5.0787 5.4846 3.3522
Sc -4.9813 1.7712 2.4613
Sc -6.1761 4.3770 0.6697
N -5.5699 6.2279 1.3686
N -5.6849 3.6337 2.6533



8
Lattice="-2.5510 0.9674 3.5180 1.9644 -3.2532 2.3190 3.4933 2.4054 4.6887" Properties=species:S:1:pos:R:3 comment="ScSN2 | Alexandria via LeMat-Bulk | PBE-GGA | relaxed" total_energy_ev_per_atom=-6.553 raw_formation_energy_ev_per_fu=0.9 mass_density_g_cm3=3.21 pbc="T T T"
N 2.4489 0.8660 5.7631
N -0.4121 0.7753 3.5733
N 1.7187 -1.2869 3.1488
N 2.0578 -0.1151 8.5662
S 2.5822 -0.9953 4.9631
S -0.2933 -1.1429 2.9185
Sc 0.0000 0.0000 0.0000
Sc 0.3245 1.1150 5.5626



9
Lattice="3.2542 0.0000 -0.7456 -0.3381 6.5800 -1.4758 -0.0032 0.1180 7.4600" Properties=species:S:1:pos:R:3 comment="Sc6SN2 | Alexandria via LeMat-Bulk | PBE-GGA | relaxed" total_energy_ev_per_atom=-7.743 raw_formation_energy_ev_per_fu=-10.9 mass_density_g_cm3=3.42 pbc="T T T"
Sc 2.1561 0.8065 1.9358
Sc 0.7567 5.8915 3.3027
Sc 2.9602 4.8875 5.4454
Sc -0.0474 1.8105 -0.2068
Sc 1.9965 3.7932 1.2396
Sc 0.9163 2.9048 3.9990
N 0.4397 2.2786 1.9191
N 2.4731 4.4193 3.3194
S 1.6271 0.0000 -0.3728



5
Lattice="-3.3930 0.4559 1.3240 -0.1022 -3.5420 0.9578 1.7175 1.0435 4.0421" Properties=species:S:1:pos:R:3 comment="ScS2N2 | Alexandria via LeMat-Bulk | PBE-GGA | relaxed" total_energy_ev_per_atom=-5.676 e_above_lowest_polymorph_ev_per_atom=0.000 raw_formation_energy_ev_per_fu=2.9 mass_density_g_cm3=3.74 pbc="T T T"
S 0.8587 0.5218 2.0210
S 0.0000 0.0000 0.0000
Sc -0.8889 -1.0213 3.1620
N -1.6965 0.2280 0.6620
N -0.0511 -1.7710 0.4789



16
Lattice="-1.0305 -4.2109 2.6026 5.9591 0.7311 3.5424 -4.1842 4.7663 6.0550" Properties=species:S:1:pos:R:3 comment="Sc4S3N | Alexandria via LeMat-Bulk | PBE-GGA | relaxed" total_energy_ev_per_atom=-7.419 e_above_lowest_polymorph_ev_per_atom=0.170 raw_formation_energy_ev_per_fu=-13.3 mass_density_g_cm3=3.12 pbc="T T T"
Sc -1.7161 3.6492 5.8574
Sc 2.5847 -0.5053 5.7505
Sc 5.0441 0.3558 3.2056
Sc -1.8251 0.1106 5.0009
Sc 2.8970 2.7321 6.2005
Sc 0.7510 1.5835 8.4041
Sc 0.6344 0.9716 2.4560
Sc 0.3220 -2.2659 2.0062
S -0.9120 2.2648 3.9361
S 0.4464 -0.9629 4.1634
S 2.7727 1.4293 4.0431
S -1.6969 1.4785 7.2649
S 0.7318 3.7542 6.9966
S 4.1311 -1.7985 4.2704
N 0.8747 -0.1557 0.7270
N 2.3444 0.6222 7.4794



4
Lattice="-2.4298 1.9635 5.1905 -0.2181 4.1942 4.3660 -3.1543 4.2284 2.9786" Properties=species:S:1:pos:R:3 comment="ScSN2 | Alexandria via LeMat-Bulk | PBE-GGA | relaxed" total_energy_ev_per_atom=-6.983 raw_formation_energy_ev_per_fu=-0.8 mass_density_g_cm3=3.31 pbc="T T T"
S 0.0000 0.0000 0.0000
N -0.5715 1.0229 1.2346
N -5.2307 9.3631 11.3005
Sc -2.9011 5.1930 6.2676



18
Lattice="5.8990 0.0000 0.2070 0.0000 6.4170 0.0000 0.5767 0.0000 8.6627" Properties=species:S:1:pos:R:3 comment="Sc6S2N | Alexandria via LeMat-Bulk | PBE-GGA | relaxed" total_energy_ev_per_atom=-7.277 raw_formation_energy_ev_per_fu=-10.9 mass_density_g_cm3=3.53 pbc="T T T"
Sc 1.6080 2.0368 8.2471
Sc 3.8450 1.2432 0.7096
Sc 5.2919 4.4517 3.9321
Sc 4.8677 4.3802 0.6225
Sc 2.2066 5.2453 4.8504
Sc 1.1838 1.9654 4.9375
Sc 4.2692 1.1717 4.0192
Sc 5.3644 6.2028 6.5862
Sc 4.3492 2.9943 6.7182
Sc 2.6308 5.1739 8.1600
Sc 2.1265 3.4227 2.1514
Sc 1.1113 0.2142 2.2834
S 3.0053 0.8003 6.3335
S 3.4704 5.6168 2.5362
S 0.8092 4.0088 6.7640
S 5.6665 2.4083 2.1056
N 2.9495 3.2085 0.1035
N 0.2883 0.0000 4.3313



8
Lattice="3.5266 0.0000 0.0000 0.0000 5.9157 -1.9905 0.0000 -0.0239 6.2415" Properties=species:S:1:pos:R:3 comment="Sc4S3N | Alexandria via LeMat-Bulk | PBE-GGA | relaxed" total_energy_ev_per_atom=-7.590 e_above_lowest_polymorph_ev_per_atom=0.000 raw_formation_energy_ev_per_fu=-14.7 mass_density_g_cm3=3.70 pbc="T T T"
Sc 0.0000 4.6377 3.3462
Sc 1.7633 4.5876 -0.1498
Sc 1.7633 1.3042 4.4008
Sc 0.0000 1.2541 0.9049
S 0.0000 2.9578 -0.9952
S 0.0000 -0.0119 3.1207
S 1.7633 2.9459 2.1255
N 1.7633 0.0000 0.0000



10
Lattice="3.5828 0.0000 0.0000 0.0000 5.9109 -0.5975 0.0000 -3.5211 9.1521" Properties=species:S:1:pos:R:3 comment="Sc3SN | Alexandria via LeMat-Bulk | PBE-GGA | relaxed" total_energy_ev_per_atom=-7.652 e_above_lowest_polymorph_ev_per_atom=0.000 raw_formation_energy_ev_per_fu=-6.8 mass_density_g_cm3=3.23 pbc="T T T"
N 2.6871 3.8186 2.7514
N 0.8957 -1.4288 5.8031
Sc 0.8957 0.5114 6.4314
Sc 2.6871 1.8784 2.1232
Sc 0.8957 -0.9917 3.6368
Sc 2.6871 4.3519 0.2494
Sc 0.8957 -1.9622 8.3051
Sc 2.6871 3.3815 4.9177
S 0.8957 0.1971 1.4209
S 2.6871 2.1927 7.1337



4
Lattice="1.8375 3.0588 5.5892 2.3735 0.2192 6.1879 4.3465 1.8054 4.6712" Properties=species:S:1:pos:R:3 comment="ScSN2 | Alexandria via LeMat-Bulk | PBE-GGA | relaxed" total_energy_ev_per_atom=-5.912 raw_formation_energy_ev_per_fu=3.5 mass_density_g_cm3=3.61 pbc="T T T"
Sc 0.0000 0.0000 0.0000
N 0.9562 0.5680 1.8380
N 7.6014 4.5154 14.6104
S 4.2788 2.5417 8.2242



18
Lattice="3.5594 0.0000 0.0000 0.0000 6.3985 0.0000 0.0000 0.0000 13.6198" Properties=species:S:1:pos:R:3 comment="Sc4S3N2 | Alexandria via LeMat-Bulk | PBE-GGA | relaxed" total_energy_ev_per_atom=-7.844 e_above_lowest_polymorph_ev_per_atom=0.072 raw_formation_energy_ev_per_fu=-16.2 mass_density_g_cm3=3.26 pbc="T T T"
N 0.0000 0.7680 5.6851
N 1.7797 3.9672 1.1249
N 1.7797 2.4312 12.4950
N 0.0000 5.6304 7.9348
S 0.0000 4.3932 10.8061
S 1.7797 5.2045 3.9962
S 1.7797 1.1939 9.6237
S 1.7797 3.1992 6.8099
S 0.0000 2.0053 2.8138
S 0.0000 0.0000 0.0000
Sc 0.0000 5.0871 5.9420
Sc 1.7797 1.3241 4.7210
Sc 1.7797 5.0744 8.8988
Sc 0.0000 4.5233 2.0889
Sc 0.0000 1.3114 7.6779
Sc 0.0000 1.8752 11.5309
Sc 1.7797 1.8879 0.8680
Sc 1.7797 4.5106 12.7519



6
Lattice="-1.7057 1.7057 7.0477 1.7057 -1.7057 7.0477 1.7057 1.7057 -7.0477" Properties=species:S:1:pos:R:3 comment="Sc3SN2 | Alexandria via LeMat-Bulk | PBE-GGA | relaxed" total_energy_ev_per_atom=-8.347 raw_formation_energy_ev_per_fu=-10.3 mass_density_g_cm3=3.95 pbc="T T T"
N 0.0000 0.0000 4.6570
N 0.0000 0.0000 9.4383
Sc 0.0000 0.0000 7.0477
Sc 0.0000 0.0000 2.5272
Sc 0.0000 0.0000 11.5681
S 0.0000 0.0000 0.0000



11
Lattice="-0.1907 -0.6351 5.0795 -1.5833 -5.0599 -3.2752 7.1257 0.1641 0.2880" Properties=species:S:1:pos:R:3 comment="Sc5S5N | Alexandria via LeMat-Bulk | PBE-GGA | relaxed" total_energy_ev_per_atom=-7.380 raw_formation_energy_ev_per_fu=-20.6 mass_density_g_cm3=3.37 pbc="T T T"
S 0.0909 -3.5626 -0.4420
S 3.6618 -3.4024 -0.2880
S 1.6899 -2.1285 2.3803
S 5.2607 -1.9684 2.5344
S 3.5628 0.0820 0.1440
Sc 1.6765 -1.5701 -0.1334
Sc 5.5164 -1.4670 0.0237
Sc 3.6751 -3.9608 2.2258
Sc -0.0953 -0.3176 2.5398
Sc -0.1648 -4.0640 2.0687
N 0.0000 0.0000 0.0000